Below is a relaxed NaCd4In4 crystal, with properties calculated at the PBE level.

a = 10.0163 Å, b = 10.0163 Å, c = 4.4670 Å
α = 90.00°, β = 90.00°, γ = 90.00°
Space group I4/mmm (No. 139)
Symmetry-distinct sites (fractional):
Na  0.0000  0.0000  0.0000 [2 per cell]
Cd  0.0000  0.3396  0.0000 [8 per cell]
In  0.1693  0.1693  0.5000 [8 per cell]

Calculated values
Crystal system = tetragonal
Formation enthalpy at 0 K = -15 meV/atom
Energy above the most stable polymorph in this dataset = 0.0 meV/atom
VASP energy = -1.785 eV per atom
Calculated volume = 448.15 Å³/cell

Below is a relaxed NdNpAl4 crystal, with properties calculated at the PBE level.

a = 7.9256 Å, b = 7.9256 Å, c = 7.9256 Å
α = 90.00°, β = 90.00°, γ = 90.00°
Space group F-43m (No. 216)
Symmetry-distinct sites (fractional):
Nd  0.0000  0.0000  0.0000 [4 per cell]
Np  0.2500  0.2500  0.7500 [4 per cell]
Al  0.1242  0.1242  0.3758 [16 per cell]

Calculated values
Crystal system = cubic
Formation enthalpy at 0 K = -230 meV/atom
VASP energy = -5.677 eV per atom
Calculated volume = 497.85 Å³/cell

Below is a relaxed CeSi2Ru crystal, with properties calculated at the PBE level.

a = 4.4606 Å, b = 4.0836 Å, c = 8.2504 Å
α = 90.00°, β = 102.77°, γ = 90.00°
Space group P2_1/m (No. 11)
Symmetry-distinct sites (fractional):
Ce  0.0908  0.2500  0.1992 [2 per cell]
Si  0.1648  0.7500  0.4925 [2 per cell]
Si  0.4601  0.2500  0.9113 [2 per cell]
Ru  0.3871  0.2500  0.6139 [2 per cell]

Calculated values
Crystal system = monoclinic
Raw formation energy = -0.823 eV per atom
VASP energy = -7.337 eV per atom
Calculated volume = 146.57 Å³/cell